Entry 1:
# Ba4YC2 | Alexandria via LeMat-Bulk | PBE | optimized geometry
# Calculated formation energy ... 1.1236 eV per atom
# Spin magnetization ... 0.000 μB per cell
data_Ba4YC2
_chemical_formula_sum 'Ba8 Y2 C4'
_cell_length_a 6.459
_cell_length_b 6.459
_cell_length_c 15.325
_cell_angle_alpha 90.00
_cell_angle_beta 90.00
_cell_angle_gamma 90.00
_symmetry_space_group_name_H-M 'I 4/m m m'
_symmetry_Int_Tables_number 139
_symmetry_space_group_name_Hall '-I 4 2'
loop_
_atom_site_label
_atom_site_type_symbol
_atom_site_fract_x
_atom_site_fract_y
_atom_site_fract_z
Ba1 Ba 0.000 0.000 0.195
Ba2 Ba 0.000 0.500 0.000
Y1 Y 0.000 0.000 0.500
C1 C 0.000 0.000 0.356

Entry 2:
# La6Nd5 | Alexandria via LeMat-Bulk | PBE | optimized geometry
# Calculated formation energy ... 0.0964 eV per atom
# Spin magnetization ... 0.000 μB per cell
data_La6Nd5
_chemical_formula_sum 'La12 Nd10'
_cell_length_a 10.257
_cell_length_b 16.364
_cell_length_c 5.806
_cell_angle_alpha 90.00
_cell_angle_beta 124.46
_cell_angle_gamma 90.00
_symmetry_space_group_name_H-M 'C 1 2/m 1'
_symmetry_Int_Tables_number 12
loop_
_symmetry_equiv_pos_as_xyz
'x,y,z'
'-x,-y,-z'
'-x,y,-z'
'x,-y,z'
'x+1/2,y+1/2,z'
'-x+1/2,-y+1/2,-z'
'-x+1/2,y+1/2,-z'
'x+1/2,-y+1/2,z'
loop_
_atom_site_label
_atom_site_type_symbol
_atom_site_fract_x
_atom_site_fract_y
_atom_site_fract_z
La1 La 0.205 0.138 0.205
La2 La 0.206 0.000 0.707
Nd1 Nd 0.000 0.202 0.500
Nd2 Nd 0.000 0.340 0.000
Nd3 Nd 0.000 0.500 0.500

Entry 3:
# Mg2CoRh | Alexandria via LeMat-Bulk | PBE | optimized geometry
# Calculated formation energy ... -0.1316 eV per atom
# Spin magnetization ... 3.029 μB per cell
data_Mg2CoRh
_chemical_formula_sum 'Mg4 Co2 Rh2'
_cell_length_a 9.801
_cell_length_b 2.950
_cell_length_c 4.498
_cell_angle_alpha 90.00
_cell_angle_beta 110.10
_cell_angle_gamma 90.00
_symmetry_space_group_name_H-M 'C 1 m 1'
_symmetry_Int_Tables_number 8
loop_
_symmetry_equiv_pos_as_xyz
'x,y,z'
'x,-y,z'
'x+1/2,y+1/2,z'
'x+1/2,-y+1/2,z'
loop_
_atom_site_label
_atom_site_type_symbol
_atom_site_fract_x
_atom_site_fract_y
_atom_site_fract_z
Mg1 Mg 0.000 0.000 0.000
Mg2 Mg 0.217 0.000 0.667
Co1 Co 0.249 0.500 0.192
Rh1 Rh 0.465 0.000 0.474

Entry 4:
# Sc3AlMo | Alexandria via LeMat-Bulk | PBE | optimized geometry
# Calculated formation energy ... 0.5089 eV per atom
# Spin magnetization ... 0.000 μB per cell
data_Sc3AlMo
_chemical_formula_sum 'Sc3 Al1 Mo1'
_cell_length_a 4.998
_cell_length_b 4.998
_cell_length_c 4.998
_cell_angle_alpha 90.00
_cell_angle_beta 90.00
_cell_angle_gamma 90.00
_symmetry_space_group_name_H-M 'P m -3 m'
_symmetry_Int_Tables_number 221
_symmetry_space_group_name_Hall '-P 4 2 3'
loop_
_atom_site_label
_atom_site_type_symbol
_atom_site_fract_x
_atom_site_fract_y
_atom_site_fract_z
Sc1 Sc 0.000 0.000 0.500
Al1 Al 0.500 0.500 0.500
Mo1 Mo 0.000 0.000 0.000

Entry 5:
# Tb2CeSc4 | Alexandria via LeMat-Bulk | PBE | optimized geometry
# Calculated formation energy ... 0.0572 eV per atom
# Excess energy over the best structure of this formula in the dataset ... 0 meV/atom
# Spin magnetization ... 1.273 μB per cell
data_Tb2CeSc4
_chemical_formula_sum 'Tb4 Ce2 Sc8'
_cell_length_a 5.889
_cell_length_b 3.402
_cell_length_c 19.101
_cell_angle_alpha 90.00
_cell_angle_beta 95.91
_cell_angle_gamma 90.00
_symmetry_space_group_name_H-M 'C 1 m 1'
_symmetry_Int_Tables_number 8
loop_
_symmetry_equiv_pos_as_xyz
'x,y,z'
'x,-y,z'
'x+1/2,y+1/2,z'
'x+1/2,-y+1/2,z'
loop_
_atom_site_label
_atom_site_type_symbol
_atom_site_fract_x
_atom_site_fract_y
_atom_site_fract_z
Tb1 Tb 0.000 0.000 0.000
Tb2 Tb 0.097 0.000 0.288
Ce1 Ce 0.406 0.500 0.711
Sc1 Sc 0.191 0.000 0.566
Sc2 Sc 0.214 0.500 0.144
Sc3 Sc 0.286 0.000 0.855
Sc4 Sc 0.313 0.500 0.434

Entry 6:
# NaSmZnSn | Alexandria via LeMat-Bulk | PBE | optimized geometry
# Calculated formation energy ... -0.3226 eV per atom
# Spin magnetization ... 0.000 μB per cell
data_NaSmZnSn
_chemical_formula_sum 'Na4 Sm4 Zn4 Sn4'
_cell_length_a 7.387
_cell_length_b 7.387
_cell_length_c 7.387
_cell_angle_alpha 90.00
_cell_angle_beta 90.00
_cell_angle_gamma 90.00
_symmetry_space_group_name_H-M 'F -4 3 m'
_symmetry_Int_Tables_number 216
_symmetry_space_group_name_Hall 'F -4 2 3'
loop_
_atom_site_label
_atom_site_type_symbol
_atom_site_fract_x
_atom_site_fract_y
_atom_site_fract_z
Na1 Na 0.000 0.000 0.000
Sm1 Sm 0.000 0.000 0.500
Zn1 Zn 0.250 0.250 0.750
Sn1 Sn 0.250 0.250 0.250